LiOs: relaxed, PBE.

The final energy is -6.1495 eV per atom. The value obtained for the volume is 272 Å³ per cell. For the total magnetic moment, the calculation gives 0.000 Bohr magnetons per cell. The calculation puts the energy relative to the elements at 0.42 eV/atom.

It has space group P4/mcc (No. 124), with a = 7.696 Å, b = 7.696 Å, c = 4.597 Å, α = 90.00°, β = 90.00° and γ = 90.00°. The distinct sites, in fractional coordinates, are Li at (0.064, 0.313, 0.000) and Os at (0.290, 0.408, 0.500).